# 1
The following is a DFT calculation (PBE) of a relaxed structure of Tb4Er8Tm3.

The total magnetization is 0.0 μB/cell. The calculation puts the formation energy from the elements at 403 meV per atom.

Structure (CIF):
```
data_Tb4Er8Tm3
_symmetry_space_group_name_H-M 'P 1'
_symmetry_Int_Tables_number 1
_cell_length_a 6.641
_cell_length_b 9.182
_cell_length_c 9.182
_cell_angle_alpha 87.87
_cell_angle_beta 111.31
_cell_angle_gamma 111.31
loop_
_symmetry_equiv_pos_as_xyz
'x,y,z'
loop_
_atom_site_label
_atom_site_type_symbol
_atom_site_fract_x
_atom_site_fract_y
_atom_site_fract_z
Tb1 Tb 0.000 0.500 0.000
Tb2 Tb 0.000 0.000 0.000
Tb3 Tb 0.500 0.000 0.000
Tb4 Tb 0.000 0.000 0.500
Er1 Er 0.000 0.639 0.361
Er2 Er 0.002 0.269 0.269
Er3 Er 0.481 0.734 0.734
Er4 Er 0.998 0.731 0.731
Er5 Er 0.500 0.253 0.747
Er6 Er 0.500 0.747 0.253
Er7 Er 0.519 0.266 0.266
Er8 Er 0.000 0.361 0.639
Tm1 Tm 0.500 0.500 0.500
Tm2 Tm 0.500 0.000 0.500
Tm3 Tm 0.500 0.500 0.000
```

# 2
The following is a DFT calculation (PBE) of a relaxed structure of TbEr5Tm12.

The total magnetization is 0.0 μB/cell. The calculation puts the formation energy from the elements at 13 meV per atom.

Structure (CIF):
```
data_TbEr5Tm12
_symmetry_space_group_name_H-M 'P 1'
_symmetry_Int_Tables_number 1
_cell_length_a 6.065
_cell_length_b 6.065
_cell_length_c 17.087
_cell_angle_alpha 86.63
_cell_angle_beta 86.63
_cell_angle_gamma 120.01
loop_
_symmetry_equiv_pos_as_xyz
'x,y,z'
loop_
_atom_site_label
_atom_site_type_symbol
_atom_site_fract_x
_atom_site_fract_y
_atom_site_fract_z
Tm1 Tm 0.389 0.056 0.833
Tm2 Tm 0.556 0.223 0.332
Tm3 Tm 0.223 0.556 0.332
Tm4 Tm 0.611 0.944 0.167
Tm5 Tm 0.056 0.389 0.833
Tm6 Tm 0.944 0.611 0.167
Tm7 Tm 0.889 0.889 0.332
Tm8 Tm 0.777 0.444 0.668
Tm9 Tm 0.111 0.111 0.668
Tm10 Tm 0.722 0.722 0.833
Tm11 Tm 0.278 0.278 0.167
Tm12 Tm 0.444 0.777 0.668
Er1 Er 0.667 0.333 0.000
Er2 Er 0.500 0.500 0.500
Er3 Er 0.833 0.167 0.500
Er4 Er 0.167 0.833 0.500
Er5 Er 0.333 0.667 0.000
Tb1 Tb 0.000 0.000 0.000
```

# 3
The following is a DFT calculation (PBE) of a relaxed structure of Tb3Er4Tm4.

The total magnetization is 0.0 μB/cell. The calculation puts the formation energy from the elements at 64 meV per atom.

Structure (CIF):
```
data_Tb3Er4Tm4
_symmetry_space_group_name_H-M 'P 1'
_symmetry_Int_Tables_number 1
_cell_length_a 3.443
_cell_length_b 5.544
_cell_length_c 17.914
_cell_angle_alpha 81.08
_cell_angle_beta 84.46
_cell_angle_gamma 89.99
loop_
_symmetry_equiv_pos_as_xyz
'x,y,z'
loop_
_atom_site_label
_atom_site_type_symbol
_atom_site_fract_x
_atom_site_fract_y
_atom_site_fract_z
Tm1 Tm 0.681 0.181 0.638
Tm2 Tm 0.454 0.454 0.091
Tm3 Tm 0.319 0.819 0.362
Tm4 Tm 0.546 0.546 0.909
Tb1 Tb 0.000 0.000 0.000
Tb2 Tb 0.864 0.363 0.273
Tb3 Tb 0.136 0.637 0.727
Er1 Er 0.267 0.267 0.467
Er2 Er 0.590 0.091 0.819
Er3 Er 0.733 0.734 0.533
Er4 Er 0.410 0.909 0.181
```

# 4
The following is a DFT calculation (PBE) of a relaxed structure of TbEr2Tm7.

The total magnetization is 0.0 μB/cell. The calculation puts the formation energy from the elements at 717 meV per atom.

Structure (CIF):
```
data_TbEr2Tm7
_symmetry_space_group_name_H-M 'P 1'
_symmetry_Int_Tables_number 1
_cell_length_a 5.208
_cell_length_b 9.389
_cell_length_c 9.389
_cell_angle_alpha 125.27
_cell_angle_beta 90.00
_cell_angle_gamma 90.00
loop_
_symmetry_equiv_pos_as_xyz
'x,y,z'
loop_
_atom_site_label
_atom_site_type_symbol
_atom_site_fract_x
_atom_site_fract_y
_atom_site_fract_z
Tm1 Tm 0.000 0.801 0.199
Tm2 Tm 0.500 0.289 0.067
Tm3 Tm 0.500 0.500 0.500
Tm4 Tm 0.000 0.199 0.801
Tm5 Tm 0.500 0.711 0.933
Tm6 Tm 0.500 0.933 0.711
Tm7 Tm 0.500 0.067 0.289
Er1 Er 0.500 0.701 0.299
Er2 Er 0.500 0.299 0.701
Tb1 Tb 0.000 0.000 0.000
```

# 5
The following is a DFT calculation (PBE) of a relaxed structure of Tb9Er3Tm2.

The total magnetization is 0.0 μB/cell. The calculation puts the formation energy from the elements at 65 meV per atom.

Structure (CIF):
```
data_Tb9Er3Tm2
_symmetry_space_group_name_H-M 'P 1'
_symmetry_Int_Tables_number 1
_cell_length_a 6.036
_cell_length_b 14.689
_cell_length_c 14.558
_cell_angle_alpha 26.69
_cell_angle_beta 50.57
_cell_angle_gamma 51.14
loop_
_symmetry_equiv_pos_as_xyz
'x,y,z'
loop_
_atom_site_label
_atom_site_type_symbol
_atom_site_fract_x
_atom_site_fract_y
_atom_site_fract_z
Tb1 Tb 0.000 0.500 0.500
Tb2 Tb 0.348 0.070 0.641
Tb3 Tb 0.507 0.572 0.137
Tb4 Tb 0.493 0.428 0.863
Tb5 Tb 0.658 0.248 0.599
Tb6 Tb 0.784 0.646 0.781
Tb7 Tb 0.342 0.752 0.401
Tb8 Tb 0.652 0.930 0.359
Tb9 Tb 0.216 0.354 0.219
Er1 Er 0.937 0.146 0.281
Er2 Er 0.063 0.854 0.719
Er3 Er 0.000 0.000 0.000
Tm1 Tm 0.766 0.753 0.102
Tm2 Tm 0.234 0.247 0.898
```

# 6
The following is a DFT calculation (PBE) of a relaxed structure of Tb8Er6Tm.

The total magnetization is 0.0 μB/cell. The calculation puts the formation energy from the elements at 173 meV per atom.

Structure (CIF):
```
data_Tb8Er6Tm
_symmetry_space_group_name_H-M 'P 1'
_symmetry_Int_Tables_number 1
_cell_length_a 5.775
_cell_length_b 9.756
_cell_length_c 9.757
_cell_angle_alpha 119.97
_cell_angle_beta 90.00
_cell_angle_gamma 90.04
loop_
_symmetry_equiv_pos_as_xyz
'x,y,z'
loop_
_atom_site_label
_atom_site_type_symbol
_atom_site_fract_x
_atom_site_fract_y
_atom_site_fract_z
Er1 Er 0.220 0.223 0.950
Er2 Er 0.779 0.274 0.224
Er3 Er 0.781 0.776 0.050
Er4 Er 0.780 0.950 0.727
Er5 Er 0.220 0.726 0.776
Er6 Er 0.220 0.050 0.274
Tb1 Tb 0.732 0.375 0.909
Tb2 Tb 0.732 0.091 0.466
Tb3 Tb 0.268 0.466 0.375
Tb4 Tb 0.777 0.667 0.333
Tb5 Tb 0.223 0.333 0.667
Tb6 Tb 0.732 0.534 0.625
Tb7 Tb 0.268 0.625 0.091
Tb8 Tb 0.268 0.909 0.534
Tm1 Tm 0.500 0.000 0.000
```